[1]
A geometry-optimized Tm2CoPdC structure. Source: the Alexandria database, functional PBE.

Values from the calculation:
calculated total energy = -6.69 eV/atom
D(E_F) = 2.19 states/eV/f.u.
energy of formation from the pure elements = -600 meV/atom
crystal system = tetragonal
SG = P4/mmm

POSCAR file:
```
Tm2CoPdC
1.0
-0.206 2.148 -2.868
-4.839 -0.638 -0.130
-0.588 3.859 2.932
Tm Co Pd C
2 1 1 1
Cartesian
-0.294 1.930 1.466
-2.419 -0.319 -0.065
-0.103 1.074 -1.434
-2.816 2.685 -0.033
0.000 0.000 0.000
```

[2]
A geometry-optimized ScPdRu structure. Source: the Alexandria database, functional PBE.

Values from the calculation:
calculated total energy = -7.27 eV/atom
D(E_F) = 1.49 states/eV/f.u.
energy of formation from the pure elements = -335 meV/atom
crystal system = tetragonal
SG = I4/mmm

POSCAR file:
```
ScPdRu
1.0
-1.421 -2.441 1.347
1.972 -1.949 -1.451
6.468 2.844 8.344
Ru Sc Pd
2 2 2
Cartesian
3.838 0.369 4.720
3.180 -1.915 3.520
1.809 0.174 2.224
5.210 -1.720 6.016
1.101 -2.116 0.963
5.918 0.569 7.277
```

[3]
A geometry-optimized Li2CoAg structure. Source: the Alexandria database, functional PBE.

Values from the calculation:
calculated total energy = -3.31 eV/atom
D(E_F) = 3.19 states/eV/f.u.
energy of formation from the pure elements = 133 meV/atom
crystal system = trigonal
SG = R-3m

POSCAR file:
```
Li2CoAg
1.0
-7.651 -4.176 2.507
-5.899 -5.588 4.030
-6.891 -3.227 4.937
Ag Co Li
1 1 2
Cartesian
-5.110 -3.248 2.869
-15.331 -9.743 8.606
-0.113 -0.072 0.064
-10.108 -6.423 5.674
```

[4]
A geometry-optimized Nd3Zn3In structure. Source: the Alexandria database, functional PBE.

Values from the calculation:
calculated total energy = -3.30 eV/atom
D(E_F) = 7.09 states/eV/f.u.
energy of formation from the pure elements = -319 meV/atom
crystal system = monoclinic
SG = C2/m

POSCAR file:
```
Nd3Zn3In
1.0
4.723 0.000 0.711
2.281 5.544 0.890
0.378 0.978 13.522
Nd Zn In
6 6 2
Cartesian
3.481 2.042 8.955
3.901 4.479 6.168
1.944 1.935 3.126
5.438 4.586 11.997
2.895 2.359 12.847
4.488 4.163 2.276
5.942 4.341 8.651
1.440 2.181 6.472
2.786 5.521 13.572
4.597 1.000 1.551
6.563 5.033 4.533
0.820 1.489 10.590
3.965 1.229 5.744
3.418 5.292 9.379
```